1 | This record from the Alexandria database describes a relaxed Sr2SiH crystal. The functional is PBE. Values from VASP.

Summary:
The value obtained for the size of the total moment is 0.0 μB per cell. As for the space group: R-3m (166). The density of states at the Fermi level comes out at 2.14 states/eV per cell.

```
&SYSTEM
  ibrav = 0, nat = 4, ntyp = 3
/
ATOMIC_SPECIES
Sr 87.62 Sr.upf
Si 28.09 Si.upf
H 1.01 H.upf
CELL_PARAMETERS angstrom
2.1404 1.2357 6.9628
-2.1404 1.2357 6.9628
0.0000 -2.4715 6.9628
ATOMIC_POSITIONS angstrom
Sr 0.0000 0.0000 5.1124
Sr 0.0000 0.0000 15.7758
Si 0.0000 0.0000 0.0000
H 0.0000 0.0000 10.4441
```



2 | This record from the Alexandria database describes a relaxed Sr2SiH crystal. The functional is PBE. Values from VASP.

Summary:
The value obtained for the size of the total moment is 0.9 μB per cell. As for the space group: Fm-3m (225). The density of states at the Fermi level comes out at 2.29 states/eV per cell.

```
&SYSTEM
  ibrav = 0, nat = 4, ntyp = 3
/
ATOMIC_SPECIES
Sr 87.62 Sr.upf
Si 28.09 Si.upf
H 1.01 H.upf
CELL_PARAMETERS angstrom
0.0000 3.7176 3.7176
3.7176 0.0000 3.7176
3.7176 3.7176 0.0000
ATOMIC_POSITIONS angstrom
Sr 1.8588 1.8588 1.8588
Sr 5.5763 5.5763 5.5763
Si 0.0000 0.0000 0.0000
H 3.7176 3.7176 3.7176
```



Which one sits at the bottom of the stability order? 2 does.



1 | This record from the Alexandria database describes a relaxed SrSiH3 crystal. The functional is PBE. Values from VASP.

Summary:
The value obtained for the size of the total moment is 0.0 μB per cell. As for the space group: Pm-3m (221). The density of states at the Fermi level comes out at 1.16 states/eV per cell.

```
&SYSTEM
  ibrav = 0, nat = 5, ntyp = 3
/
ATOMIC_SPECIES
Sr 87.62 Sr.upf
Si 28.09 Si.upf
H 1.01 H.upf
CELL_PARAMETERS angstrom
3.8858 0.0000 0.0000
0.0000 3.8858 0.0000
0.0000 0.0000 3.8858
ATOMIC_POSITIONS angstrom
Sr 0.0000 0.0000 0.0000
Si 1.9429 1.9429 1.9429
H 0.0000 1.9429 1.9429
H 1.9429 0.0000 1.9429
H 1.9429 1.9429 0.0000
```



2 | This record from the Alexandria database describes a relaxed SrSiH3 crystal. The functional is PBE. Values from VASP.

Summary:
The value obtained for the size of the total moment is 0.0 μB per cell. As for the space group: Pm-3m (221). The density of states at the Fermi level comes out at 1.66 states/eV per cell.

```
&SYSTEM
  ibrav = 0, nat = 5, ntyp = 3
/
ATOMIC_SPECIES
Sr 87.62 Sr.upf
Si 28.09 Si.upf
H 1.01 H.upf
CELL_PARAMETERS angstrom
4.3412 0.0000 0.0000
0.0000 4.3412 0.0000
0.0000 0.0000 4.3412
ATOMIC_POSITIONS angstrom
Sr 0.0000 0.0000 0.0000
Si 2.1706 2.1706 2.1706
H 0.0000 0.0000 2.1706
H 0.0000 2.1706 0.0000
H 2.1706 0.0000 0.0000
```



Which one sits at the bottom of the stability order? 2 does.



1 | This record from the Alexandria database describes a relaxed Ta3SiH crystal. The functional is PBE. Values from VASP.

Summary:
The value obtained for the size of the total moment is 0.0 μB per cell. As for the space group: P-1 (2). The density of states at the Fermi level comes out at 5.48 states/eV per cell.

```
&SYSTEM
  ibrav = 0, nat = 10, ntyp = 3
/
ATOMIC_SPECIES
Ta 180.95 Ta.upf
Si 28.09 Si.upf
H 1.01 H.upf
CELL_PARAMETERS angstrom
2.8397 0.0000 0.0000
-0.3567 7.4734 0.0000
-0.4975 -2.9562 6.9684
ATOMIC_POSITIONS angstrom
Ta 0.3947 2.4855 0.7573
Ta 0.2631 0.9150 3.5902
Ta 0.0575 4.7410 5.6976
Ta 1.9280 -0.2238 1.2708
Ta 1.7225 3.6022 3.3782
Ta 1.5909 2.0317 6.2111
Si 0.3195 5.0174 1.6117
Si 1.6661 -0.5001 5.3567
H 0.1470 2.8167 4.8446
H 1.8386 1.7006 2.1238
```



2 | This record from the Alexandria database describes a relaxed Ta3SiH crystal. The functional is PBE. Values from VASP.

Summary:
The value obtained for the size of the total moment is 0.0 μB per cell. As for the space group: Pm-3m (221). The density of states at the Fermi level comes out at 0.31 states/eV per cell.

```
&SYSTEM
  ibrav = 0, nat = 5, ntyp = 3
/
ATOMIC_SPECIES
Ta 180.95 Ta.upf
Si 28.09 Si.upf
H 1.01 H.upf
CELL_PARAMETERS angstrom
4.1118 0.0000 0.0000
0.0000 4.1118 0.0000
0.0000 0.0000 4.1118
ATOMIC_POSITIONS angstrom
Ta 0.0000 0.0000 2.0559
Ta 0.0000 2.0559 0.0000
Ta 2.0559 0.0000 0.0000
Si 2.0559 2.0559 2.0559
H 0.0000 0.0000 0.0000
```



Which one sits at the bottom of the stability order? 1 does.



1 | This record from the Alexandria database describes a relaxed TaSi2H crystal. The functional is PBE. Values from VASP.

Summary:
The value obtained for the size of the total moment is 0.0 μB per cell. As for the space group: I-42d (122). The density of states at the Fermi level comes out at 0.45 states/eV per cell.

```
&SYSTEM
  ibrav = 0, nat = 8, ntyp = 3
/
ATOMIC_SPECIES
Ta 180.95 Ta.upf
Si 28.09 Si.upf
H 1.01 H.upf
CELL_PARAMETERS angstrom
-2.8920 2.8920 2.9729
2.8920 -2.8920 2.9729
2.8920 2.8920 -2.9729
ATOMIC_POSITIONS angstrom
Ta 0.0000 0.0000 0.0000
Ta 0.0000 2.8920 1.4864
Si 1.4460 -0.8283 2.2297
Si 2.0637 1.4460 0.7432
Si 1.4460 3.7203 -0.7432
Si 0.8283 1.4460 3.7161
H 2.8920 0.0000 1.4864
H 0.0000 0.0000 2.9729
```



2 | This record from the Alexandria database describes a relaxed TaSi2H crystal. The functional is PBE. Values from VASP.

Summary:
The value obtained for the size of the total moment is 0.0 μB per cell. As for the space group: Fm-3m (225). The density of states at the Fermi level comes out at 2.99 states/eV per cell.

```
&SYSTEM
  ibrav = 0, nat = 4, ntyp = 3
/
ATOMIC_SPECIES
Ta 180.95 Ta.upf
Si 28.09 Si.upf
H 1.01 H.upf
CELL_PARAMETERS angstrom
0.0000 3.0312 3.0312
3.0312 0.0000 3.0312
3.0312 3.0312 0.0000
ATOMIC_POSITIONS angstrom
Ta 0.0000 0.0000 0.0000
Si 1.5156 1.5156 1.5156
Si 4.5469 4.5469 4.5469
H 3.0312 3.0312 3.0312
```



Which one sits at the bottom of the stability order? 2 does.



1 | This record from the Alexandria database describes a relaxed TbSiH crystal. The functional is PBE. Values from VASP.

Summary:
The value obtained for the size of the total moment is 0.0 μB per cell. As for the space group: P-6m2 (187). The density of states at the Fermi level comes out at 0.74 states/eV per cell.

```
&SYSTEM
  ibrav = 0, nat = 3, ntyp = 3
/
ATOMIC_SPECIES
Tb 158.93 Tb.upf
Si 28.09 Si.upf
H 1.01 H.upf
CELL_PARAMETERS angstrom
3.5869 0.0000 0.0000
-1.7934 3.1063 0.0000
0.0000 0.0000 4.6119
ATOMIC_POSITIONS angstrom
Tb 0.0000 0.0000 0.0000
Si 1.7934 1.0354 2.3059
H 0.0000 2.0709 0.0000
```



2 | This record from the Alexandria database describes a relaxed TbSiH crystal. The functional is PBE. Values from VASP.

Summary:
The value obtained for the size of the total moment is 0.0 μB per cell. As for the space group: P2_1/m (11). The density of states at the Fermi level comes out at 0.77 states/eV per cell.

```
&SYSTEM
  ibrav = 0, nat = 6, ntyp = 3
/
ATOMIC_SPECIES
Tb 158.93 Tb.upf
Si 28.09 Si.upf
H 1.01 H.upf
CELL_PARAMETERS angstrom
4.0211 0.0000 0.0000
0.0000 3.8739 0.0000
-2.0067 0.0000 5.7848
ATOMIC_POSITIONS angstrom
Tb -0.0008 0.9685 1.6996
Tb 2.0153 2.9054 4.0853
Si 0.0050 0.9685 5.0992
Si 2.0094 2.9054 0.6856
H -0.0001 2.9054 2.9404
H 2.0146 0.9685 2.8445
```



3 | This record from the Alexandria database describes a relaxed TbSiH crystal. The functional is PBE. Values from VASP.

Summary:
The value obtained for the size of the total moment is 0.0 μB per cell. As for the space group: Pbcn (60). The density of states at the Fermi level comes out at 3.12 states/eV per cell.

```
&SYSTEM
  ibrav = 0, nat = 24, ntyp = 3
/
ATOMIC_SPECIES
Tb 158.93 Tb.upf
Si 28.09 Si.upf
H 1.01 H.upf
CELL_PARAMETERS angstrom
11.7597 0.0000 0.0000
0.0000 5.8593 0.0000
0.0000 0.0000 5.8898
ATOMIC_POSITIONS angstrom
Tb 1.5424 1.3761 0.1812
Tb 1.5424 4.4832 3.1261
Tb 4.3374 1.5535 3.1261
Tb 4.3374 4.3058 0.1812
Tb 7.4222 1.5535 5.7086
Tb 7.4222 4.3058 2.7637
Tb 10.2172 1.3761 2.7637
Tb 10.2172 4.4832 5.7086
Si 1.3430 1.5735 3.1442
Si 1.3430 4.2858 0.1993
Si 4.5368 1.3562 0.1993
Si 4.5368 4.5031 3.1442
Si 7.2228 1.3562 2.7456
Si 7.2228 4.5031 5.6905
Si 10.4166 1.5735 5.6905
Si 10.4166 4.2858 2.7456
H 2.3356 0.6485 2.2596
H 2.3356 5.2108 5.2045
H 3.5442 2.2812 5.2045
H 3.5442 3.5781 2.2596
H 8.2155 2.2812 3.6302
H 8.2155 3.5781 0.6853
H 9.4240 0.6485 0.6853
H 9.4240 5.2108 3.6302
```



Which one sits at the bottom of the stability order? 1 does.



1 | This record from the Alexandria database describes a relaxed SiTcH crystal. The functional is PBE. Values from VASP.

Summary:
The value obtained for the size of the total moment is 0.0 μB per cell. As for the space group: P2_1/c (14). The density of states at the Fermi level comes out at 6.26 states/eV per cell.

```
&SYSTEM
  ibrav = 0, nat = 12, ntyp = 3
/
ATOMIC_SPECIES
Si 28.09 Si.upf
Tc 98.00 Tc.upf
H 1.01 H.upf
CELL_PARAMETERS angstrom
4.5937 0.0000 0.0000
0.0000 5.4175 0.0000
-2.3249 0.0000 5.1844
ATOMIC_POSITIONS angstrom
Si -0.1593 0.3654 1.9207
Si -1.3218 2.3434 4.5129
Si 3.5906 3.0741 0.6715
Si 2.4281 5.0522 3.2637
Tc 1.2379 3.7024 1.4789
Tc 0.0754 4.4240 4.0711
Tc 2.1934 0.9936 1.1132
Tc 1.0309 1.7152 3.7054
H 0.0598 3.0293 2.7133
H 1.2223 5.0970 0.1211
H 1.0465 0.3205 5.0633
H 2.2090 2.3883 2.4711
```



2 | This record from the Alexandria database describes a relaxed SiTcH crystal. The functional is PBE. Values from VASP.

Summary:
The value obtained for the size of the total moment is 0.0 μB per cell. As for the space group: P-6m2 (187). The density of states at the Fermi level comes out at 1.12 states/eV per cell.

```
&SYSTEM
  ibrav = 0, nat = 3, ntyp = 3
/
ATOMIC_SPECIES
Si 28.09 Si.upf
Tc 98.00 Tc.upf
H 1.01 H.upf
CELL_PARAMETERS angstrom
3.3973 0.0000 0.0000
-1.6987 2.9422 0.0000
0.0000 0.0000 3.1180
ATOMIC_POSITIONS angstrom
Si 0.0000 0.0000 0.0000
Tc 0.0000 1.9614 1.5590
H 1.6987 0.9807 1.5590
```



Which one sits at the bottom of the stability order? 1 does.



1 | This record from the Alexandria database describes a relaxed Si3TcH crystal. The functional is PBE. Values from VASP.

Summary:
The value obtained for the size of the total moment is 0.0 μB per cell. As for the space group: Pm-3m (221). The density of states at the Fermi level comes out at 0.00 states/eV per cell.

```
&SYSTEM
  ibrav = 0, nat = 5, ntyp = 3
/
ATOMIC_SPECIES
Si 28.09 Si.upf
Tc 98.00 Tc.upf
H 1.01 H.upf
CELL_PARAMETERS angstrom
4.6103 0.0000 0.0000
0.0000 4.6103 0.0000
0.0000 0.0000 4.6103
ATOMIC_POSITIONS angstrom
Si 0.0000 0.0000 2.3051
Si 0.0000 2.3051 0.0000
Si 2.3051 0.0000 0.0000
Tc 0.0000 0.0000 0.0000
H 2.3051 2.3051 2.3051
```



2 | This record from the Alexandria database describes a relaxed Si3TcH crystal. The functional is PBE. Values from VASP.

Summary:
The value obtained for the size of the total moment is 0.0 μB per cell. As for the space group: Pm-3m (221). The density of states at the Fermi level comes out at 3.42 states/eV per cell.

```
&SYSTEM
  ibrav = 0, nat = 5, ntyp = 3
/
ATOMIC_SPECIES
Si 28.09 Si.upf
Tc 98.00 Tc.upf
H 1.01 H.upf
CELL_PARAMETERS angstrom
3.8490 0.0000 0.0000
0.0000 3.8490 0.0000
0.0000 0.0000 3.8490
ATOMIC_POSITIONS angstrom
Si 0.0000 0.0000 1.9245
Si 0.0000 1.9245 0.0000
Si 1.9245 0.0000 0.0000
Tc 1.9245 1.9245 1.9245
H 0.0000 0.0000 0.0000
```



Which one sits at the bottom of the stability order? 1 does.



1 | This record from the Alexandria database describes a relaxed SiTeH2 crystal. The functional is PBE. Values from VASP.

Summary:
The value obtained for the size of the total moment is 0.0 μB per cell. As for the space group: P2/c (13). The density of states at the Fermi level comes out at 1.82 states/eV per cell.

```
&SYSTEM
  ibrav = 0, nat = 16, ntyp = 3
/
ATOMIC_SPECIES
Si 28.09 Si.upf
Te 127.60 Te.upf
H 1.01 H.upf
CELL_PARAMETERS angstrom
5.2597 0.0000 0.0000
0.0000 10.6645 0.0000
-0.8952 0.0000 4.7103
ATOMIC_POSITIONS angstrom
Si -0.2238 0.6766 1.1776
Si -0.6714 9.9879 3.5327
Si 2.4060 4.5449 1.1776
Si 1.9584 6.1196 3.5327
Te 0.7932 2.8199 2.4477
Te 1.2408 7.8446 0.0925
Te 3.1237 2.8199 4.6178
Te 3.5713 7.8446 2.2626
H 0.0227 0.5085 4.6133
H 0.4703 10.1561 2.2581
H 0.8419 4.8615 4.4032
H 1.2895 5.8031 2.0480
H 3.0749 4.8615 2.6623
H 3.5225 5.8031 0.3071
H 3.8942 0.5085 2.4522
H 4.3418 10.1561 0.0971
```



2 | This record from the Alexandria database describes a relaxed SiTeH2 crystal. The functional is PBE. Values from VASP.

Summary:
The value obtained for the size of the total moment is 0.0 μB per cell. As for the space group: Fm-3m (225). The density of states at the Fermi level comes out at 1.70 states/eV per cell.

```
&SYSTEM
  ibrav = 0, nat = 4, ntyp = 3
/
ATOMIC_SPECIES
Si 28.09 Si.upf
Te 127.60 Te.upf
H 1.01 H.upf
CELL_PARAMETERS angstrom
0.0000 2.8942 2.8942
2.8942 0.0000 2.8942
2.8942 2.8942 0.0000
ATOMIC_POSITIONS angstrom
Si 0.0000 0.0000 0.0000
Te 2.8942 2.8942 2.8942
H 1.4471 1.4471 1.4471
H 4.3413 4.3413 4.3413
```



3 | This record from the Alexandria database describes a relaxed SiTeH2 crystal. The functional is PBE. Values from VASP.

Summary:
The value obtained for the size of the total moment is 0.0 μB per cell. As for the space group: I4_1/amd (141). The density of states at the Fermi level comes out at 3.60 states/eV per cell.

```
&SYSTEM
  ibrav = 0, nat = 8, ntyp = 3
/
ATOMIC_SPECIES
Si 28.09 Si.upf
Te 127.60 Te.upf
H 1.01 H.upf
CELL_PARAMETERS angstrom
-2.7200 2.7200 3.8358
2.7200 -2.7200 3.8358
2.7200 2.7200 -3.8358
ATOMIC_POSITIONS angstrom
Si 2.7200 1.3600 0.9589
Si 0.0000 1.3600 2.8768
Te 2.7200 -1.3600 2.8768
Te 0.0000 4.0800 0.9589
H 2.7200 0.0000 0.0000
H -1.3600 1.3600 1.9179
H 0.0000 0.0000 3.8358
H 1.3600 1.3600 1.9179
```



Which one sits at the bottom of the stability order? 2 does.